No. 1
The following is a DFT calculation (PBE) of a relaxed KBeAgF5 crystal.

## Properties
**Symmetry**: C2/c (15)
**Total moment**: 0.000 μB/f.u.
**ΔE_f (raw)**: -2.381 eV per atom
**V**: 245.7 Å³/cell

Lattice parameters (Å, degrees): 6.0650 6.0650 7.8436 104.29 104.29 109.59
Closest atoms and distances in Å follow each position.
Element x y z (fractional)
K (0.1719, 0.8281, 0.7500)  7 F 2.66-2.95
K (0.8281, 0.1719, 0.2500)  7 F 2.66-2.95
Be (0.1733, 0.8267, 0.2500)  4 F 1.55-1.62
Be (0.8267, 0.1733, 0.7500)  4 F 1.55-1.62
Ag (0.5000, 0.5000, 0.0000)  4 F 2.05-2.19
Ag (0.5000, 0.5000, 0.5000)  4 F 2.05-2.19
F (0.1014, 0.2428, 0.8974)  1 Be 1.62
F (0.1616, 0.6481, 0.3616)  1 Be 1.55
F (0.2428, 0.1014, 0.3974)  1 Be 1.62
F (0.3519, 0.8384, 0.1384)  1 Be 1.55
F (0.4400, 0.5600, 0.7500)  2 Ag 2.05
F (0.5600, 0.4400, 0.2500)  2 Ag 2.05
F (0.6481, 0.1616, 0.8616)  1 Be 1.55
F (0.7572, 0.8986, 0.6026)  1 Be 1.62
F (0.8384, 0.3519, 0.6384)  1 Be 1.55
F (0.8986, 0.7572, 0.1026)  1 Be 1.62

---

No. 2
The following is a DFT calculation (PBE) of a relaxed DyThTcPd crystal.

## Properties
**Symmetry**: F-43m (216)
**Total moment**: 0.000 μB/f.u.
**Energy relative to the elements**: -0.4196 eV/atom
**V**: 88.0 Å³/cell

Lattice parameters (Å, degrees): 4.9926 4.9926 4.9926 60.00 60.00 60.00
Closest atoms and distances in Å follow each position.
Element x y z (fractional)
Dy (0.0000, 0.0000, 0.0000)  4 Pd 3.06, 4 Tc 3.06
Th (0.5000, 0.5000, 0.5000)  4 Tc 3.06, 4 Pd 3.06
Tc (0.2500, 0.2500, 0.2500)  4 Dy 3.06, 4 Th 3.06
Pd (0.7500, 0.7500, 0.7500)  4 Dy 3.06, 4 Th 3.06

---

No. 3
The following is a DFT calculation (PBE) of a relaxed TePtSe2 crystal.

## Properties
**Symmetry**: Amm2 (38)
**Total moment**: 0.000 μB/f.u.
**ΔE_f (raw)**: -0.156 eV per atom
**V**: 89.3 Å³/cell

Lattice parameters (Å, degrees): 3.9124 4.9887 4.9887 66.54 90.00 90.00
Closest atoms and distances in Å follow each position.
Element x y z (fractional)
Te (0.0000, 0.0000, 0.0000)  2 Pt 2.66, 2 Se 2.83
Pt (0.5000, 0.2159, 0.2159)  4 Se 2.57-2.74, 2 Te 2.66
Se (0.0000, 0.4152, 0.4152)  2 Pt 2.57, 2 Te 2.83
Se (0.5000, 0.7193, 0.7193)  2 Pt 2.74, 2 Te 3.05

---

No. 4
The following is a DFT calculation (PBE) of a relaxed Ca5Cd12Ag2 crystal.

## Properties
**Symmetry**: C2/m (12)
**Total moment**: 0.000 μB/f.u.
**Energy relative to the elements**: -0.2178 eV/atom
**V**: 479.2 Å³/cell

Lattice parameters (Å, degrees): 8.9143 8.9143 7.5542 91.72 91.72 53.00
Closest atoms and distances in Å follow each position.
Element x y z (fractional)
Ca (0.0000, 0.0000, 0.0000)  10 Cd 3.25-3.47
Ca (0.2437, 0.2437, 0.9360)  10 Cd 3.24-3.46
Ca (0.3020, 0.3020, 0.4719)  8 Cd 3.18-3.46, 2 Ag 3.51
Ca (0.6980, 0.6980, 0.5281)  8 Cd 3.18-3.46, 2 Ag 3.51
Ca (0.7563, 0.7563, 0.0640)  10 Cd 3.24-3.46
Cd (0.0439, 0.6660, 0.7467)  3 Cd 2.93-3.11, 1 Ag 3.17, 1 Ca 3.28
Cd (0.0945, 0.0945, 0.5933)  2 Ag 2.95, 5 Cd 3.03-3.29
Cd (0.1909, 0.5874, 0.1623)  5 Cd 3.03-3.29, 1 Ag 3.06, 4 Ca 3.18-3.27
Cd (0.3340, 0.9561, 0.2533)  3 Cd 2.93-3.11, 1 Ag 3.17, 1 Ca 3.28
Cd (0.4126, 0.8091, 0.8377)  5 Cd 3.03-3.29, 1 Ag 3.06, 4 Ca 3.18-3.27
Cd (0.4484, 0.4484, 0.8160)  7 Cd 2.93-3.22, 2 Ag 2.97
Cd (0.5516, 0.5516, 0.1840)  7 Cd 2.93-3.22, 2 Ag 2.97
Cd (0.5874, 0.1909, 0.1623)  5 Cd 3.03-3.29, 1 Ag 3.06, 4 Ca 3.18-3.27
Cd (0.6660, 0.0439, 0.7467)  3 Cd 2.93-3.11, 1 Ag 3.17, 1 Ca 3.28
Cd (0.8091, 0.4126, 0.8377)  5 Cd 3.03-3.29, 1 Ag 3.06, 4 Ca 3.18-3.27
Cd (0.9055, 0.9055, 0.4067)  2 Ag 2.95, 5 Cd 3.03-3.29
Cd (0.9561, 0.3340, 0.2533)  3 Cd 2.93-3.11, 1 Ag 3.17, 1 Ca 3.28
Ag (0.3086, 0.6914, 0.5000)  8 Cd 2.95-3.17, 1 Ag 3.04
Ag (0.6914, 0.3086, 0.5000)  8 Cd 2.95-3.17, 1 Ag 3.04